Entry 1:
A plane-wave DFT calculation with PBE was carried out for a relaxed structure of Dy2GaPbO6.

Output
- symmetry = P4mm

Geometry as extended XYZ:
```
10
Lattice="5.364 0.000 0.000 0.000 5.308 0.000 0.000 0.000 5.308" Properties=species:S:1:pos:R:3 pbc="T T T"
Dy 5.255 0.000 2.654
Dy 5.255 2.654 0.000
Pb 2.901 2.654 2.654
O 4.010 4.049 4.049
O 4.010 1.259 4.049
O 4.010 4.049 1.259
O 4.010 1.259 1.259
O 0.682 2.654 2.654
O 1.292 0.000 0.000
Ga 3.155 0.000 0.000
```

Entry 2:
A plane-wave DFT calculation with PBE was carried out for a relaxed structure of Rb2DyGaO4.

Output
- symmetry = Fddd

Geometry as extended XYZ:
```
16
Lattice="5.552 0.000 0.000 2.776 6.358 0.000 2.776 0.000 11.256" Properties=species:S:1:pos:R:3 pbc="T T T"
Rb 5.552 0.000 4.169
Rb 6.940 3.179 9.797
Rb 2.776 0.000 7.087
Rb 6.940 3.179 1.459
Dy 0.000 0.000 0.000
Dy 6.940 3.179 5.628
O 8.497 4.314 6.558
O 4.334 1.135 10.326
O 5.382 2.044 6.558
O 3.994 1.135 0.930
O 4.334 5.224 0.930
O 2.946 2.044 4.698
O 5.382 4.314 4.698
O 9.546 5.224 10.326
Ga 4.164 3.179 5.628
Ga 2.776 0.000 0.000
```

Entry 3:
A plane-wave DFT calculation with PBE was carried out for a relaxed structure of Rb3DyGa2O6.

Output
- symmetry = P-3m1

Geometry as extended XYZ:
```
12
Lattice="6.192 0.000 0.000 -3.096 5.362 0.000 0.000 0.000 7.423" Properties=species:S:1:pos:R:3 pbc="T T T"
Rb 0.000 3.575 5.568
Rb 0.000 0.000 0.000
Rb 3.096 1.787 1.855
Ga 0.000 3.575 2.280
Ga 3.096 1.787 5.143
O 0.000 1.787 2.270
O 1.548 4.468 2.270
O -1.548 4.468 2.270
O 1.548 0.894 5.153
O 3.096 3.575 5.153
O 4.644 0.894 5.153
Dy 0.000 0.000 3.712
```

Which uncorrected formation energy belongs to each record? In order, -2219, -1922, -1987 meV per atom.
Which DOS at the Fermi energy belongs to each record? In order, 2.57, 0.00, 0.00 states/eV per cell.
Which energy belongs to each record? In order, -67.88, -89.55, -67.15 eV for the cell shown.